Density functional theory data (PBE-GGA) for a relaxed structure of Cs2InI4.

Total magnetic moment (μB per cell): 0.00
Fermi-level density of states (states/eV per cell): 1.91
Offset from the most stable computed form (eV/f.u.): 0.21
Formation energy (no corrections) (eV/f.u.): -7.5

Unit cell a=5.9534 b=6.2358 c=9.9226 alpha=108.31 beta=90.00 gamma=90.00
Last column: nearest neighbours and their distance in Å.
Element x y z (fractional)
Cs (0.5000, 0.6449, 0.2898)  8 I 4.04-4.33
I (0.5000, 0.0000, 0.0000)  2 In 2.98
Cs (0.5000, 0.3551, 0.7102)  8 I 4.04-4.33
I (0.0000, 0.1683, 0.3365)  1 In 3.17
I (0.0000, 0.8317, 0.6635)  1 In 3.17
I (0.0000, 0.5000, 0.0000)  2 In 3.12
In (0.0000, 0.0000, 0.0000)  6 I 2.98-3.17